# KCrAgO3 (PBE+U, optimized geometry)
# Size of the total moment (μB/cell): 4.0
# Uncorrected energy (eV per atom): -5.431
data_KCrAgO3
_cell_length_a 10.762
_cell_length_b 6.302
_cell_length_c 7.335
_cell_angle_alpha 90.00
_cell_angle_beta 113.70
_cell_angle_gamma 90.00
_space_group_name_H-M_alt 'C 1 2/m 1'
_space_group_IT_number 12
_space_group_name_Hall '-C 2y'
loop_
_atom_site_label
_atom_site_fract_x
_atom_site_fract_y
_atom_site_fract_z
K1 0.192 0.000 0.092
Cr1 0.050 0.500 0.191
Ag1 0.000 0.247 0.500
O1 0.035 0.264 0.802
O2 0.211 0.500 0.231